Record 1
VASP calculation (meta-GGA SCAN) on a crystal of CaLaGa3O7 relaxed with PBEsol.

Cell lengths 5.2483, 7.9272, 7.9272 Å; angles 91.09, 90.00, 90.00 degrees
Element x y z (fractional)
O 0.2061 0.5949 0.1572
Ga 0.9680 0.1481 0.1481
O 0.7832 0.3380 0.0893
O 0.6933 0.3600 0.6400
O 0.8043 0.0000 0.0000
Ga 0.0368 0.6405 0.3595
O 0.6933 0.6400 0.3600
O 0.2061 0.8428 0.4051
Ca 0.5208 0.3413 0.3413
Ga 0.9905 0.5000 0.0000
O 0.3113 0.8624 0.8624
O 0.2061 0.1572 0.5949
O 0.7832 0.0893 0.3380
Ca 0.5208 0.6587 0.6587
O 0.7832 0.6620 0.9107
O 0.7832 0.9107 0.6620
La 0.4939 0.8359 0.1641
Ga 0.0368 0.3595 0.6405
La 0.4939 0.1641 0.8359
Ga 0.9905 0.0000 0.5000
O 0.2061 0.4051 0.8428
O 0.2097 0.5000 0.5000
O 0.3113 0.1376 0.1376
Ga 0.9680 0.8519 0.8519

Results
Formation energy without anion corrections: -2.671 eV/atom
Crystal system: orthorhombic
Space group: Cmm2 (35)

Record 2
VASP calculation (meta-GGA SCAN) on a crystal of CaLaGaO4 relaxed with PBEsol.

Cell lengths 5.3237, 6.8169, 11.7521 Å; angles 90.00, 90.00, 90.00 degrees
Element x y z (fractional)
Ga 0.9329 0.2500 0.5898
Ca 0.5000 0.0000 0.5000
O 0.7259 0.7500 0.4085
O 0.2308 0.9617 0.3378
O 0.7741 0.7500 0.9085
La 0.0111 0.2500 0.2796
Ga 0.5671 0.2500 0.0898
O 0.7257 0.2500 0.9475
Ga 0.0671 0.7500 0.4102
O 0.7308 0.0383 0.1622
O 0.7743 0.2500 0.4475
O 0.7308 0.4617 0.1622
La 0.4889 0.2500 0.7796
O 0.7692 0.0383 0.6622
O 0.2743 0.7500 0.0525
O 0.2741 0.2500 0.5915
Ca 0.0000 0.0000 0.0000
La 0.9889 0.7500 0.7204
O 0.7692 0.4617 0.6622
O 0.2692 0.5383 0.8378
O 0.2257 0.7500 0.5525
Ga 0.4329 0.7500 0.9102
O 0.2259 0.2500 0.0915
O 0.2308 0.5383 0.3378
Ca 0.0000 0.5000 0.0000
La 0.5111 0.7500 0.2204
Ca 0.5000 0.5000 0.5000
O 0.2692 0.9617 0.8378

Results
Formation energy without anion corrections: -3.075 eV/atom
Crystal system: orthorhombic
Space group: Pnma (62)

Record 3
VASP calculation (meta-GGA SCAN) on a crystal of Li2CaGa2 relaxed with PBEsol.

Cell lengths 3.9695, 3.9695, 6.9737 Å; angles 106.54, 106.54, 90.00 degrees
Element x y z (fractional)
Ga 0.6023 0.6023 0.2047
Ga 0.3977 0.3977 0.7953
Li 0.7500 0.2500 0.5000
Ca 0.0000 0.0000 0.0000
Li 0.2500 0.7500 0.5000

Results
Energy of formation: -149.3 kJ/mol of formula units
Crystal system: tetragonal
Space group: I4/mmm (139)

Record 4
VASP calculation (meta-GGA SCAN) on a crystal of Ca3MgGa relaxed with PBEsol.

Cell lengths 5.8568, 5.8568, 5.8568 Å; angles 90.00, 90.00, 90.00 degrees
Element x y z (fractional)
Ca 0.0000 0.5000 0.0000
Ca 0.0000 0.0000 0.5000
Ca 0.5000 0.0000 0.0000
Mg 0.0000 0.0000 0.0000
Ga 0.5000 0.5000 0.5000

Results
Energy of formation: 238.8 kJ/mol of formula units
Crystal system: cubic
Space group: Pm-3m (221)

Record 5
VASP calculation (meta-GGA SCAN) on a crystal of CaMn2Ga2 relaxed with PBEsol.

Cell lengths 4.3065, 4.3065, 5.3972 Å; angles 113.51, 113.51, 90.00 degrees
Site moments in Bohr magnetons follow the coordinates.
Element x y z (fractional)
Ga 0.2500 0.7500 0.5000  -0.05
Ga 0.7500 0.2500 0.5000  -0.05
Mn 0.6076 0.6076 0.2152  1.22
Mn 0.3924 0.3924 0.7848  1.22
Ca 0.0000 0.0000 0.0000  -0.02

Results
Energy of formation: 19.0 kJ/mol of formula units
Crystal system: tetragonal
Space group: I4/mmm (139)

Record 6
VASP calculation (meta-GGA SCAN) on a crystal of Ca2MnGaO5 relaxed with PBEsol.

Cell lengths 5.3074, 5.5629, 8.3050 Å; angles 109.57, 108.63, 90.00 degrees
Site moments in Bohr magnetons follow the coordinates.
Element x y z (fractional)
O 0.2488 0.7318 0.9733  0.04
O 0.7755 0.2586 0.0267  0.04
Ca 0.6100 0.0793 0.2153  0.00
O 0.9081 0.9295 0.7166  0.03
O 0.4081 0.2871 0.7166  0.03
Ga 0.7204 0.6811 0.5000  0.02
Ca 0.1100 0.6360 0.2153  0.00
Ca 0.3947 0.9207 0.7847  0.00
Mn 0.5142 0.5000 0.0000  3.71
O 0.3655 0.6294 0.5000  0.01
O 0.6914 0.7129 0.2834  0.03
Ca 0.8947 0.3640 0.7847  0.00
O 0.7488 0.7414 0.9733  0.04
O 0.2755 0.2682 0.0267  0.04
Ga 0.2204 0.3189 0.5000  0.02
O 0.8655 0.3706 0.5000  0.01
O 0.1914 0.0705 0.2834  0.03
Mn 0.0142 0.0000 0.0000  3.71

Results
Formation energy without anion corrections: -2.689 eV/atom
Crystal system: orthorhombic
Space group: Ima2 (46)

Record 7
VASP calculation (meta-GGA SCAN) on a crystal of Ca2MnGaO5 relaxed with PBEsol.

Cell lengths 5.3081, 5.5530, 14.7532 Å; angles 90.00, 90.00, 90.00 degrees
Site moments in Bohr magnetons follow the coordinates.
Element x y z (fractional)
Ca 0.4844 0.9730 0.3920  0.00
O 0.5990 0.1214 0.2500  0.01
Ga 0.9534 0.0676 0.2500  0.02
O 0.2572 0.7583 0.5140  0.04
O 0.7572 0.7417 0.9860  0.04
O 0.9010 0.6214 0.7500  0.01
Mn 0.0000 0.0000 0.5000  3.71
Mn 0.5000 0.5000 0.0000  3.71
O 0.4672 0.4280 0.8583  0.03
O 0.2572 0.7583 0.9860  0.04
Ga 0.0466 0.9324 0.7500  0.02
O 0.5328 0.5720 0.3583  0.03
O 0.4672 0.4280 0.6417  0.03
Ca 0.9844 0.5270 0.1080  0.00
O 0.9672 0.0720 0.6417  0.03
O 0.7428 0.2417 0.0140  0.04
O 0.9672 0.0720 0.8583  0.03
O 0.7572 0.7417 0.5140  0.04
O 0.0328 0.9280 0.1417  0.03
O 0.5328 0.5720 0.1417  0.03
O 0.0328 0.9280 0.3583  0.03
Ca 0.5156 0.0270 0.6080  0.00
Mn 0.5000 0.5000 0.5000  3.71
Ca 0.4844 0.9730 0.1080  0.00
Ga 0.4534 0.4324 0.2500  0.02
O 0.4010 0.8786 0.7500  0.01
Ga 0.5466 0.5676 0.7500  0.02
O 0.2428 0.2583 0.0140  0.04
Ca 0.5156 0.0270 0.8920  0.00
Mn 0.0000 0.0000 0.0000  3.71
Ca 0.0156 0.4730 0.8920  0.00
O 0.0990 0.3786 0.2500  0.01
O 0.2428 0.2583 0.4860  0.04
O 0.7428 0.2417 0.4860  0.04
Ca 0.0156 0.4730 0.6080  0.00
Ca 0.9844 0.5270 0.3920  0.00

Results
Formation energy without anion corrections: -2.688 eV/atom
Crystal system: orthorhombic
Space group: Pnma (62)

Record 8
VASP calculation (meta-GGA SCAN) on a crystal of SrCaMnGaO5 relaxed with PBEsol.

Cell lengths 5.3637, 5.5787, 8.5008 Å; angles 108.69, 108.39, 90.00 degrees
Site moments in Bohr magnetons follow the coordinates.
Element x y z (fractional)
O 0.7354 0.2409 0.9811  0.03
Sr 0.1152 0.5926 0.2260  0.00
Ca 0.6138 0.1298 0.2094  0.00
O 0.2440 0.2337 0.9822  0.04
Mn 0.9966 0.0000 0.0000  3.66
O 0.6246 0.1130 0.4796  0.01
Mn 0.4975 0.5000 0.0000  3.75
O 0.8144 0.8157 0.7205  0.03
Sr 0.8892 0.4074 0.7740  0.00
Ga 0.7878 0.8202 0.5012  0.02
O 0.7543 0.7591 0.0189  0.03
O 0.6280 0.5698 0.2886  0.03
O 0.2618 0.7663 0.0178  0.04
O 0.3394 0.4302 0.7114  0.03
Ca 0.4044 0.8702 0.7906  0.00
Ga 0.2866 0.1798 0.4988  0.02
O 0.0939 0.1843 0.2795  0.03
O 0.1450 0.8870 0.5204  0.01

Results
Formation energy without anion corrections: -2.667 eV/atom
Crystal system: monoclinic
Space group: C2 (5)

Record 9
VASP calculation (meta-GGA SCAN) on a crystal of CaMnGaRe2 relaxed with PBEsol.

Cell lengths 4.6001, 4.6001, 4.8246 Å; angles 90.00, 90.00, 90.00 degrees
Site moments in Bohr magnetons follow the coordinates.
Element x y z (fractional)
Ga 0.0000 0.0000 0.5000  0.01
Re 0.0000 0.5000 0.0000  -0.94
Re 0.5000 0.0000 0.0000  -0.94
Ca 0.0000 0.0000 0.0000  0.00
Mn 0.5000 0.5000 0.5000  4.47

Results
Energy of formation: 1312.8 kJ/mol of formula units
Crystal system: tetragonal
Space group: P4/mmm (123)

Record 10
VASP calculation (meta-GGA SCAN) on a crystal of Ca3GaMo relaxed with PBEsol.

Cell lengths 5.5881, 5.5881, 5.5881 Å; angles 90.00, 90.00, 90.00 degrees
Site moments in Bohr magnetons follow the coordinates.
Element x y z (fractional)
Ca 0.0000 0.0000 0.5000  0.00
Ca 0.5000 0.0000 0.0000  0.00
Mo 0.5000 0.5000 0.5000  4.07
Ga 0.0000 0.0000 0.0000  -0.12
Ca 0.0000 0.5000 0.0000  0.00

Results
Energy of formation: 324.5 kJ/mol of formula units
Crystal system: cubic
Space group: Pm-3m (221)

Record 11
VASP calculation (meta-GGA SCAN) on a crystal of CaGaN2 relaxed with PBEsol.

Cell lengths 3.2790, 3.2790, 6.5404 Å; angles 75.48, 75.48, 60.00 degrees
Site moments in Bohr magnetons follow the coordinates.
Element x y z (fractional)
Ga 0.5000 0.5000 0.5000  -0.04
N 0.8838 0.8838 0.3486  0.59
N 0.1162 0.1162 0.6514  0.59
Ca 0.0000 0.0000 0.0000  -0.02

Results
Formation energy without anion corrections: 0.509 eV/atom
Crystal system: trigonal
Space group: R-3m (166)

Record 12
VASP calculation (meta-GGA SCAN) on a crystal of CaGaSe2N relaxed with PBEsol.

Cell lengths 4.5420, 5.4558, 5.4558 Å; angles 90.00, 90.00, 90.00 degrees
Site moments in Bohr magnetons follow the coordinates.
Element x y z (fractional)
Ca 0.0000 0.0000 0.0000  0.01
Se 0.0000 0.5000 0.0000  0.54
Ga 0.5000 0.5000 0.5000  0.03
N 0.5000 0.0000 0.0000  1.53
Se 0.0000 0.0000 0.5000  0.54

Results
Formation energy without anion corrections: 0.429 eV/atom
Crystal system: tetragonal
Space group: P4/mmm (123)

| no. | M_tot (μB per atom) |
| --- | --- |
| 1 | 0.000 |
| 2 | 0.000 |
| 3 | 0.000 |
| 4 | 0.000 |
| 5 | 0.471 |
| 6 | 0.444 |
| 7 | 0.444 |
| 8 | 0.444 |
| 9 | 0.484 |
| 10 | 0.997 |
| 11 | 0.330 |
| 12 | 0.803 |